{
  "formula": "Sm5Dy2HoTh",
  "functional": "PBE-GGA",
  "state": "optimized geometry",
  "lattice_angstrom": [[2.818, -10.196, 0.000], [2.818, 10.196, 0.000], [0.000, 0.000, 10.534]],
  "species": ["Sm", "Sm", "Sm", "Sm", "Sm", "Sm", "Sm", "Sm", "Sm", "Sm", "Dy", "Dy", "Dy", "Dy", "Ho", "Ho", "Th", "Th"],
  "fractional_positions": [[0.015, 0.985, 0.500], [0.276, 0.724, 0.794], [0.295, 0.705, 0.186], [0.387, 0.613, 0.507], [0.481, 0.519, 0.224], [0.519, 0.481, 0.724], [0.613, 0.387, 0.007], [0.705, 0.295, 0.686], [0.724, 0.276, 0.294], [0.985, 0.015, 0.000], [0.113, 0.887, 0.217], [0.115, 0.885, 0.794], [0.885, 0.115, 0.294], [0.887, 0.113, 0.717], [0.406, 0.594, 0.937], [0.594, 0.406, 0.437], [0.198, 0.802, 0.493], [0.802, 0.198, 0.993]],
  "sg": "Cmc2_1, No. 36",
  "total_magnetization_mub_per_cell": 0.0,
  "total_energy_ev_per_atom": -4.821,
  "ef_ev_per_atom": 0.16
}